## P
Here is a relaxed KH3Rh crystal from Alexandria. Energies are from PBE.

```
data_KH3Rh
_space_group_name_H-M_alt 'P 1'
_space_group_IT_number 1
_space_group_name_Hall 'P 1'
_cell_length_a 4.711
_cell_length_b 10.894
_cell_length_c 4.722
_cell_angle_alpha 90.00
_cell_angle_beta 90.00
_cell_angle_gamma 90.00
loop_
_atom_site_label
_atom_site_type_symbol
_atom_site_fract_x
_atom_site_fract_y
_atom_site_fract_z
_atom_site_occupancy
H1 H 0.752 0.750 0.250 1
H2 H 0.251 0.826 0.750 1
H3 H 0.249 0.326 0.250 1
H4 H 0.249 0.174 0.250 1
H5 H 0.252 0.750 0.250 1
H6 H 0.751 0.826 0.750 1
H7 H 0.751 0.674 0.750 1
H8 H 0.248 0.250 0.750 1
H9 H 0.749 0.326 0.250 1
H10 H 0.748 0.250 0.750 1
H11 H 0.749 0.174 0.250 1
H12 H 0.251 0.674 0.750 1
K1 K 0.500 0.000 0.000 1
K2 K 0.500 0.500 0.000 1
K3 K 0.000 0.500 0.500 1
K4 K 0.000 0.000 0.500 1
Rh1 Rh 0.998 0.250 0.033 1
Rh2 Rh 0.502 0.750 0.533 1
Rh3 Rh 0.002 0.750 0.967 1
Rh4 Rh 0.498 0.250 0.467 1
```

## Q
Here is a relaxed KH3Rh crystal from Alexandria. Energies are from PBE.

```
data_KH3Rh
_space_group_name_H-M_alt 'P 1'
_space_group_IT_number 1
_space_group_name_Hall 'P 1'
_cell_length_a 11.962
_cell_length_b 7.069
_cell_length_c 7.069
_cell_angle_alpha 92.55
_cell_angle_beta 130.73
_cell_angle_gamma 49.27
loop_
_atom_site_label
_atom_site_type_symbol
_atom_site_fract_x
_atom_site_fract_y
_atom_site_fract_z
_atom_site_occupancy
K1 K 0.209 0.370 0.397 1
K2 K 0.709 0.103 0.130 1
K3 K 0.791 0.630 0.603 1
K4 K 0.291 0.897 0.870 1
H1 H 0.441 0.712 0.706 1
H2 H 0.941 0.794 0.788 1
H3 H 0.333 0.228 0.073 1
H4 H 0.043 0.976 0.889 1
H5 H 0.833 0.427 0.272 1
H6 H 0.667 0.772 0.927 1
H7 H 0.457 0.389 0.476 1
H8 H 0.059 0.206 0.212 1
H9 H 0.559 0.288 0.294 1
H10 H 0.957 0.024 0.111 1
H11 H 0.167 0.573 0.728 1
H12 H 0.543 0.611 0.524 1
Rh1 Rh 0.250 0.820 0.320 1
Rh2 Rh 0.250 0.533 0.033 1
Rh3 Rh 0.750 0.467 0.967 1
Rh4 Rh 0.750 0.180 0.680 1
```

## R
Here is a relaxed KH3Rh crystal from Alexandria. Energies are from PBE.

```
data_KH3Rh
_space_group_name_H-M_alt 'P 1'
_space_group_IT_number 1
_space_group_name_Hall 'P 1'
_cell_length_a 3.650
_cell_length_b 3.650
_cell_length_c 9.088
_cell_angle_alpha 90.00
_cell_angle_beta 90.00
_cell_angle_gamma 120.00
loop_
_atom_site_label
_atom_site_type_symbol
_atom_site_fract_x
_atom_site_fract_y
_atom_site_fract_z
_atom_site_occupancy
H1 H 0.667 0.333 0.527 1
H2 H 0.333 0.667 0.027 1
H3 H 0.333 0.667 0.473 1
H4 H 0.000 0.000 0.250 1
H5 H 0.667 0.333 0.973 1
H6 H 0.000 0.000 0.750 1
Rh1 Rh 0.000 0.000 0.500 1
Rh2 Rh 0.000 0.000 0.000 1
K1 K 0.667 0.333 0.250 1
K2 K 0.333 0.667 0.750 1
```

## S
Here is a relaxed KH3Rh crystal from Alexandria. Energies are from PBE.

```
data_KH3Rh
_space_group_name_H-M_alt 'P 1'
_space_group_IT_number 1
_space_group_name_Hall 'P 1'
_cell_length_a 16.407
_cell_length_b 6.801
_cell_length_c 6.801
_cell_angle_alpha 148.48
_cell_angle_beta 155.66
_cell_angle_gamma 24.34
loop_
_atom_site_label
_atom_site_type_symbol
_atom_site_fract_x
_atom_site_fract_y
_atom_site_fract_z
_atom_site_occupancy
K1 K 0.343 0.059 0.941 1
K2 K 0.657 0.941 0.059 1
H1 H 0.354 0.708 0.292 1
H2 H 0.901 0.438 0.562 1
H3 H 0.099 0.562 0.438 1
H4 H 0.646 0.292 0.708 1
H5 H 0.029 0.031 0.969 1
H6 H 0.971 0.969 0.031 1
Rh1 Rh 0.087 0.083 0.917 1
Rh2 Rh 0.913 0.917 0.083 1
```

Order of stability, best first: Q, S, P, R

## P
Here is a relaxed KH3Rh crystal from Alexandria. Energies are from PBE.

```
data_KH3Rh
_space_group_name_H-M_alt 'P 1'
_space_group_IT_number 1
_space_group_name_Hall 'P 1'
_cell_length_a 5.587
_cell_length_b 7.658
_cell_length_c 5.271
_cell_angle_alpha 133.14
_cell_angle_beta 89.74
_cell_angle_gamma 68.79
loop_
_atom_site_label
_atom_site_type_symbol
_atom_site_fract_x
_atom_site_fract_y
_atom_site_fract_z
_atom_site_occupancy
K1 K 0.471 0.887 0.357 1
K2 K 0.804 0.221 0.190 1
Rh1 Rh 0.137 0.554 0.274 1
Rh2 Rh 0.137 0.554 0.774 1
H1 H 0.889 0.678 0.649 1
H2 H 0.013 0.430 0.902 1
H3 H 0.262 0.678 0.647 1
H4 H 0.386 0.430 0.900 1
H5 H 0.261 0.306 0.277 1
H6 H 0.013 0.802 0.271 1
```

## Q
Here is a relaxed KH3Rh crystal from Alexandria. Energies are from PBE.

```
data_KH3Rh
_space_group_name_H-M_alt 'P 1'
_space_group_IT_number 1
_space_group_name_Hall 'P 1'
_cell_length_a 2.880
_cell_length_b 5.773
_cell_length_c 5.773
_cell_angle_alpha 116.90
_cell_angle_beta 90.00
_cell_angle_gamma 90.00
loop_
_atom_site_label
_atom_site_type_symbol
_atom_site_fract_x
_atom_site_fract_y
_atom_site_fract_z
_atom_site_occupancy
Rh1 Rh 0.000 0.431 0.569 1
H1 H 0.000 0.274 0.726 1
H2 H 0.500 0.255 0.404 1
H3 H 0.500 0.596 0.745 1
K1 K 0.500 0.072 0.928 1
```

## R
Here is a relaxed KH3Rh crystal from Alexandria. Energies are from PBE.

```
data_KH3Rh
_space_group_name_H-M_alt 'P 1'
_space_group_IT_number 1
_space_group_name_Hall 'P 1'
_cell_length_a 16.169
_cell_length_b 6.488
_cell_length_c 6.488
_cell_angle_alpha 153.63
_cell_angle_beta 152.38
_cell_angle_gamma 27.62
loop_
_atom_site_label
_atom_site_type_symbol
_atom_site_fract_x
_atom_site_fract_y
_atom_site_fract_z
_atom_site_occupancy
K1 K 0.801 0.111 0.889 1
K2 K 0.199 0.889 0.111 1
H1 H 0.510 0.668 0.332 1
H2 H 0.104 0.203 0.797 1
H3 H 0.896 0.797 0.203 1
H4 H 0.795 0.323 0.677 1
H5 H 0.205 0.677 0.323 1
H6 H 0.490 0.332 0.668 1
Rh1 Rh 0.675 0.008 0.992 1
Rh2 Rh 0.325 0.992 0.008 1
```

## S
Here is a relaxed KH3Rh crystal from Alexandria. Energies are from PBE.

```
data_KH3Rh
_space_group_name_H-M_alt 'P 1'
_space_group_IT_number 1
_space_group_name_Hall 'P 1'
_cell_length_a 4.400
_cell_length_b 4.400
_cell_length_c 4.400
_cell_angle_alpha 93.56
_cell_angle_beta 93.56
_cell_angle_gamma 93.56
loop_
_atom_site_label
_atom_site_type_symbol
_atom_site_fract_x
_atom_site_fract_y
_atom_site_fract_z
_atom_site_occupancy
H1 H 0.035 0.708 0.708 1
H2 H 0.708 0.035 0.708 1
H3 H 0.708 0.708 0.035 1
K1 K 0.470 0.470 0.470 1
Rh1 Rh 0.955 0.955 0.955 1
```

Order of stability, best first: P, R, Q, S

## P
Here is a relaxed K2HRh crystal from Alexandria. Energies are from PBE.

```
data_K2HRh
_space_group_name_H-M_alt 'P 1'
_space_group_IT_number 1
_space_group_name_Hall 'P 1'
_cell_length_a 11.114
_cell_length_b 11.114
_cell_length_c 8.051
_cell_angle_alpha 46.36
_cell_angle_beta 46.36
_cell_angle_gamma 90.00
loop_
_atom_site_label
_atom_site_type_symbol
_atom_site_fract_x
_atom_site_fract_y
_atom_site_fract_z
_atom_site_occupancy
K1 K 0.375 0.576 0.750 1
K2 K 0.326 0.625 0.250 1
K3 K 0.424 0.125 0.250 1
K4 K 0.875 0.674 0.750 1
H1 H 0.500 0.500 0.000 1
H2 H 0.250 0.750 0.500 1
Rh1 Rh 0.750 0.250 0.500 1
Rh2 Rh 0.000 0.000 0.000 1
```

## Q
Here is a relaxed K2HRh crystal from Alexandria. Energies are from PBE.

```
data_K2HRh
_space_group_name_H-M_alt 'P 1'
_space_group_IT_number 1
_space_group_name_Hall 'P 1'
_cell_length_a 5.390
_cell_length_b 5.390
_cell_length_c 5.390
_cell_angle_alpha 60.00
_cell_angle_beta 60.00
_cell_angle_gamma 60.00
loop_
_atom_site_label
_atom_site_type_symbol
_atom_site_fract_x
_atom_site_fract_y
_atom_site_fract_z
_atom_site_occupancy
Rh1 Rh 0.500 0.500 0.500 1
K1 K 0.750 0.750 0.750 1
K2 K 0.250 0.250 0.250 1
H1 H 0.000 0.000 0.000 1
```

Order of stability, best first: P, Q

## P
Here is a relaxed KH4Rh crystal from Alexandria. Energies are from PBE.

```
data_KH4Rh
_space_group_name_H-M_alt 'P 1'
_space_group_IT_number 1
_space_group_name_Hall 'P 1'
_cell_length_a 5.451
_cell_length_b 6.009
_cell_length_c 6.009
_cell_angle_alpha 113.39
_cell_angle_beta 101.17
_cell_angle_gamma 101.17
loop_
_atom_site_label
_atom_site_type_symbol
_atom_site_fract_x
_atom_site_fract_y
_atom_site_fract_z
_atom_site_occupancy
H1 H 0.496 0.091 0.876 1
H2 H 0.004 0.124 0.909 1
H3 H 0.131 0.740 0.721 1
H4 H 0.869 0.260 0.279 1
H5 H 0.369 0.279 0.260 1
H6 H 0.631 0.721 0.740 1
H7 H 0.996 0.876 0.091 1
H8 H 0.504 0.909 0.124 1
Rh1 Rh 0.250 0.003 0.997 1
Rh2 Rh 0.750 0.997 0.003 1
K1 K 0.750 0.657 0.343 1
K2 K 0.250 0.343 0.657 1
```

## Q
Here is a relaxed KH4Rh crystal from Alexandria. Energies are from PBE.

```
data_KH4Rh
_space_group_name_H-M_alt 'P 1'
_space_group_IT_number 1
_space_group_name_Hall 'P 1'
_cell_length_a 4.702
_cell_length_b 4.689
_cell_length_c 5.623
_cell_angle_alpha 90.00
_cell_angle_beta 90.19
_cell_angle_gamma 90.00
loop_
_atom_site_label
_atom_site_type_symbol
_atom_site_fract_x
_atom_site_fract_y
_atom_site_fract_z
_atom_site_occupancy
K1 K 0.000 0.000 0.000 1
K2 K 0.500 0.500 0.000 1
H1 H 0.501 0.022 0.795 1
H2 H 0.999 0.522 0.205 1
H3 H 0.239 0.762 0.580 1
H4 H 0.499 0.978 0.205 1
H5 H 0.261 0.262 0.420 1
H6 H 0.001 0.478 0.795 1
H7 H 0.739 0.738 0.580 1
H8 H 0.761 0.238 0.420 1
Rh1 Rh 0.000 0.500 0.500 1
Rh2 Rh 0.500 0.000 0.500 1
```

Order of stability, best first: Q, P

## P
Here is a relaxed KHRu3 crystal from Alexandria. Energies are from PBE.

```
data_KHRu3
_space_group_name_H-M_alt 'P 1'
_space_group_IT_number 1
_space_group_name_Hall 'P 1'
_cell_length_a 4.837
_cell_length_b 4.837
_cell_length_c 4.837
_cell_angle_alpha 90.00
_cell_angle_beta 90.00
_cell_angle_gamma 90.00
loop_
_atom_site_label
_atom_site_type_symbol
_atom_site_fract_x
_atom_site_fract_y
_atom_site_fract_z
_atom_site_occupancy
Ru1 Ru 0.000 0.500 0.000 1
Ru2 Ru 0.500 0.000 0.000 1
Ru3 Ru 0.000 0.000 0.500 1
H1 H 0.500 0.500 0.500 1
K1 K 0.000 0.000 0.000 1
```

## Q
Here is a relaxed KHRu3 crystal from Alexandria. Energies are from PBE.

```
data_KHRu3
_space_group_name_H-M_alt 'P 1'
_space_group_IT_number 1
_space_group_name_Hall 'P 1'
_cell_length_a 4.135
_cell_length_b 4.135
_cell_length_c 4.135
_cell_angle_alpha 90.00
_cell_angle_beta 90.00
_cell_angle_gamma 90.00
loop_
_atom_site_label
_atom_site_type_symbol
_atom_site_fract_x
_atom_site_fract_y
_atom_site_fract_z
_atom_site_occupancy
Ru1 Ru 0.500 0.000 0.000 1
Ru2 Ru 0.000 0.000 0.500 1
Ru3 Ru 0.000 0.500 0.000 1
K1 K 0.500 0.500 0.500 1
H1 H 0.000 0.000 0.000 1
```

Order of stability, best first: Q, P

## P
Here is a relaxed KH3S crystal from Alexandria. Energies are from PBE.

```
data_KH3S
_space_group_name_H-M_alt 'P 1'
_space_group_IT_number 1
_space_group_name_Hall 'P 1'
_cell_length_a 4.526
_cell_length_b 4.608
_cell_length_c 10.810
_cell_angle_alpha 90.00
_cell_angle_beta 90.00
_cell_angle_gamma 90.00
loop_
_atom_site_label
_atom_site_type_symbol
_atom_site_fract_x
_atom_site_fract_y
_atom_site_fract_z
_atom_site_occupancy
H1 H 0.500 0.916 0.956 1
H2 H 0.500 0.300 0.568 1
H3 H 0.500 0.686 0.382 1
H4 H 0.500 0.186 0.618 1
H5 H 0.500 0.416 0.044 1
H6 H 0.500 0.800 0.432 1
S1 S 0.500 0.799 0.841 1
S2 S 0.500 0.299 0.159 1
K1 K 0.000 0.299 0.829 1
K2 K 0.000 0.799 0.171 1
```

## Q
Here is a relaxed KH3S crystal from Alexandria. Energies are from PBE.

```
data_KH3S
_space_group_name_H-M_alt 'P 1'
_space_group_IT_number 1
_space_group_name_Hall 'P 1'
_cell_length_a 3.874
_cell_length_b 3.874
_cell_length_c 3.874
_cell_angle_alpha 90.00
_cell_angle_beta 90.00
_cell_angle_gamma 90.00
loop_
_atom_site_label
_atom_site_type_symbol
_atom_site_fract_x
_atom_site_fract_y
_atom_site_fract_z
_atom_site_occupancy
H1 H 0.000 0.500 0.000 1
H2 H 0.000 0.000 0.500 1
H3 H 0.500 0.000 0.000 1
S1 S 0.000 0.000 0.000 1
K1 K 0.500 0.500 0.500 1
```

Order of stability, best first: P, Q